Computed, not measured: a geometry-optimized Na2CuNiF6 structure at the PBE with a Hubbard U level of DFT.

Structure (POSCAR):
```
Na2CuNiF6
1.0
5.2925 0.0000 -0.0765
0.0000 5.4962 0.0000
-0.0635 0.0000 8.2877
F Cu Na Ni
12 2 4 2
direct
0.7063 0.3028 0.9360
0.7937 0.8028 0.5640
0.3101 0.7087 0.4456
0.8917 0.5423 0.2715
0.8101 0.7913 0.9456
0.2937 0.6972 0.0640
0.3917 0.9577 0.7715
0.1083 0.4577 0.7285
0.6899 0.2913 0.5544
0.6083 0.0423 0.2285
0.1899 0.2087 0.0544
0.2063 0.1972 0.4360
0.0000 0.5000 0.0000
0.5000 0.0000 0.5000
0.5201 0.5571 0.7447
0.9799 0.0571 0.7553
0.0201 0.9429 0.2447
0.4799 0.4429 0.2553
0.5000 0.0000 0.0000
0.0000 0.5000 0.5000
```

Values from the calculation:
Spin magnetization ... 0.301 μB per atom
Calculated total energy ... -42.69 eV/f.u.
Density of states at the Fermi level ... 0.0202 states/eV/atom